# GGA-PBE Tb2Ga4Ni3, relaxed
# crystal system = orthorhombic
# energy = -4.809 eV/atom
# formation enthalpy at 0 K = -0.51 eV per atom
data_Tb2Ga4Ni3
_chemical_formula_sum 'Tb8 Ga16 Ni12'
_space_group_name_H-M_alt 'F m m m'
_space_group_IT_number 69
_space_group_name_Hall '-F 2 2'
_cell_length_a 5.213
_cell_length_b 9.260
_cell_length_c 12.559
_cell_angle_alpha 90.00
_cell_angle_beta 90.00
_cell_angle_gamma 90.00
loop_
_atom_site_label
_atom_site_type_symbol
_atom_site_fract_x
_atom_site_fract_y
_atom_site_fract_z
Tb1 Tb 0.000 0.000 0.128
Ga1 Ga 0.000 0.171 0.341
Ni1 Ni 0.000 0.000 0.500
Ni2 Ni 0.250 0.250 0.000